# 1
DFT (PBE) results for an optimized crystal structure of RbHfAs3.

Calculated values
Final energy   -26.23 eV/cell
Fermi-level density of states   4.51 states/eV/cell
Space-group type   Pm-3m, No. 221
Calculated formation energy   -272 meV/atom
Energy above the lowest structure with this stoichiometry   0.00 eV/f.u.

a b c (Å): 5.2444 5.2444 5.2444
angles (deg): 90.00 90.00 90.00
Positions (direct):
1 As 0.0000 0.5000 0.0000
2 As 0.0000 0.0000 0.5000
3 As 0.5000 0.0000 0.0000
4 Hf 0.0000 0.0000 0.0000
5 Rb 0.5000 0.5000 0.5000


# 2
DFT (PBE) results for an optimized crystal structure of LiPmHoPt.

Calculated values
Final energy   -19.73 eV/cell
Fermi-level density of states   3.53 states/eV/cell
Space-group type   F-43m, No. 216
Calculated formation energy   -611 meV/atom

a b c (Å): 5.0386 5.0386 5.0386
angles (deg): 60.00 60.00 60.00
Positions (direct):
1 Li 0.2500 0.2500 0.2500
2 Ho 0.0000 0.0000 0.0000
3 Pt 0.7500 0.7500 0.7500
4 Pm 0.5000 0.5000 0.5000


# 3
DFT (PBE) results for an optimized crystal structure of GaPF.

Calculated values
Formation energy (no corrections)   -0.796 eV per atom
Final energy   -25.39 eV/cell
Fermi-level density of states   4.12 states/eV/cell
Space-group type   Amm2, No. 38
Energy above the lowest structure with this stoichiometry   1.37 eV/f.u.

a b c (Å): 3.2334 4.9157 6.2045
angles (deg): 90.00 90.00 90.00
Positions (direct):
1 P 0.5000 0.0000 0.9704
2 P 0.5000 0.5000 0.4704
3 Ga 0.5000 0.0000 0.3507
4 Ga 0.5000 0.5000 0.8507
5 F 0.0000 0.0000 0.5348
6 F 0.0000 0.5000 0.0348


Fermi-level density of states of number 2 (LiPmHoPt)?
3.53 states/eV/cell


Number 3 is which compound?
GaPF